# 1
Material: GaNi9B8
Method: DFT, GGA-PBE
State: optimized geometry

Results
Formation energy   -0.25 eV/atom

abc: 5.410 5.410 10.783
angles: 90.00 90.00 97.44
Fractional positions:
1 B 0.436 0.564 0.250
2 B 0.960 0.617 0.551
3 B 0.040 0.383 0.051
4 B 0.221 0.779 0.619
5 B 0.649 0.351 0.250
6 B 0.617 0.960 0.449
7 B 0.564 0.436 0.750
8 B 0.351 0.649 0.750
9 B 0.040 0.383 0.449
10 B 0.383 0.040 0.949
11 B 0.617 0.960 0.051
12 B 0.779 0.221 0.119
13 B 0.221 0.779 0.881
14 B 0.960 0.617 0.949
15 B 0.779 0.221 0.381
16 B 0.383 0.040 0.551
17 Ni 0.621 0.761 0.614
18 Ni 0.239 0.379 0.614
19 Ni 0.000 0.000 0.000
20 Ni 0.761 0.621 0.386
21 Ni 0.000 0.000 0.500
22 Ni 0.609 0.950 0.250
23 Ni 0.709 0.291 0.918
24 Ni 0.379 0.239 0.386
25 Ni 0.291 0.709 0.082
26 Ni 0.050 0.391 0.250
27 Ni 0.761 0.621 0.114
28 Ni 0.391 0.050 0.750
29 Ni 0.709 0.291 0.582
30 Ni 0.950 0.609 0.750
31 Ni 0.621 0.761 0.886
32 Ni 0.291 0.709 0.418
33 Ni 0.239 0.379 0.886
34 Ni 0.379 0.239 0.114
35 Ga 0.088 0.912 0.250
36 Ga 0.912 0.088 0.750



# 2
Material: Pr2YHo8
Method: DFT, GGA-PBE
State: optimized geometry

Results
Formation energy   0.17 eV/atom
Energy relative to the lowest polymorph listed for this composition   16 meV per atom

abc: 6.624 6.664 8.930
angles: 99.26 111.77 90.00
Fractional positions:
1 Ho 0.801 0.196 0.602
2 Ho 0.588 0.906 0.177
3 Ho 0.174 0.598 0.827
4 Ho 0.347 0.402 0.173
5 Ho 0.826 0.402 0.173
6 Ho 0.412 0.094 0.823
7 Ho 0.199 0.804 0.398
8 Ho 0.653 0.598 0.827
9 Y 0.000 0.000 0.000
10 Pr 0.245 0.312 0.490
11 Pr 0.755 0.688 0.510



# 3
Material: NaPuF6
Method: DFT, GGA-PBE
State: optimized geometry

Results
Formation energy without anion corrections   -3.12 eV per atom

abc: 5.541 5.545 6.164
angles: 63.20 63.22 59.94
Each line ends with the local moment (μB).
Fractional positions:
1 F 0.605 0.261 0.270  -0.04
2 F 0.135 0.395 0.730  -0.04
3 F 0.739 0.135 0.730  -0.04
4 F 0.261 0.865 0.270  -0.04
5 F 0.865 0.605 0.270  -0.04
6 F 0.395 0.739 0.730  -0.04
7 Pu 0.500 0.500 0.500  3.25
8 Na 0.000 0.000 0.000  0.00



# 4
Material: BaPrZnSn
Method: DFT, GGA-PBE
State: optimized geometry

Results
Formation energy   -0.37 eV/atom

abc: 5.652 5.652 5.652
angles: 60.00 60.00 60.00
Fractional positions:
1 Ba 0.500 0.500 0.500
2 Zn 0.750 0.750 0.750
3 Pr 0.000 0.000 0.000
4 Sn 0.250 0.250 0.250



# 5
Material: Zr2RePdPt
Method: DFT, GGA-PBE
State: optimized geometry

Results
Formation energy   1.12 eV/atom

abc: 4.855 4.786 4.855
angles: 90.00 90.00 90.00
Each line ends with the local moment (μB).
Fractional positions:
1 Re 0.500 0.500 0.500  0.96
2 Zr 0.500 0.000 0.000  -0.14
3 Zr 0.000 0.000 0.500  -0.09
4 Pd 0.000 0.000 0.000  0.01
5 Pt 0.000 0.500 0.000  0.03



# 6
Material: BC2
Method: DFT, GGA-PBE
State: optimized geometry

Results
Formation energy   0.32 eV/atom
Energy relative to the lowest polymorph listed for this composition   81 meV per atom

abc: 7.027 7.038 7.038
angles: 158.83 141.48 44.37
Fractional positions:
1 C 0.494 0.505 0.989
2 C 0.631 0.295 0.336
3 C 0.015 0.003 0.013
4 C 0.632 0.621 0.012
5 C 0.992 0.664 0.328
6 C 0.134 0.464 0.670
7 C 0.117 0.781 0.336
8 C 0.113 0.123 0.991
9 B 0.658 0.981 0.676
10 B 0.473 0.806 0.667
11 B 0.490 0.170 0.320
12 B 0.999 0.338 0.661